Computed, not measured: a relaxed LiPuCo2O6 crystal at the GGA+U level of DFT.

Structure (CIF):
```
data_LiPuCo2O6
_chemical_formula_sum 'Li1 Pu1 Co2 O6'
_cell_length_a 5.865
_cell_length_b 5.865
_cell_length_c 4.155
_cell_angle_alpha 90.00
_cell_angle_beta 90.00
_cell_angle_gamma 90.00
_symmetry_space_group_name_H-M 'P 4 m m'
_symmetry_Int_Tables_number 99
loop_
_symmetry_equiv_pos_as_xyz
'x,y,z'
'-y,x,z'
'-x,-y,z'
'y,-x,z'
'-x,y,z'
'y,x,z'
'x,-y,z'
'-y,-x,z'
loop_
_atom_site_label
_atom_site_type_symbol
_atom_site_fract_x
_atom_site_fract_y
_atom_site_fract_z
Li1 Li 0.000 0.000 0.000
Pu1 Pu 0.500 0.500 0.008
Co1 Co 0.000 0.500 0.027
O1 O 0.000 0.000 0.502
O2 O 0.252 0.252 0.014
O3 O 0.500 0.500 0.509
```

## Properties
* final energy: -0.2541 hartree per atom
* density of states at the Fermi level: 6.2 states/eV/f.u.
* size of the total moment: 5.000 μB/f.u.